# 1
## CeTh4 (GGA-PBE)

Data for a relaxed structure of CeTh4.

Its total energy is -7.11 eV per atom. The density is 11.40 g/cm3. The calculation puts the energy relative to the elements at 0.01 eV per atom. The offset from the most stable computed form comes out at 0 meV per atom.

abc: 3.5371 3.5371 43.0942
angles: 90.00 90.00 120.00
Space group R-3m (No. 166, hexagonal axes)
Inequivalent atoms, fractional coordinates:
Ce1 0.0000 0.0000 0.0000 (multiplicity 3)
Th1 0.0000 0.0000 0.2007 (multiplicity 6)
Th2 0.0000 0.0000 0.3988 (multiplicity 6)

---

# 2
## CdSbRu (GGA-PBE)

Data for a relaxed structure of CdSbRu.

Its total energy is -4.66 eV per atom. The value obtained for the formation energy without anion corrections is 0.114 eV per atom. The density is 8.71 g/cm3. The offset from the most stable computed form comes out at 55 meV per atom.

abc: 6.346 6.346 6.346
angles: 90.00 90.00 90.00
Space group F-43m (No. 216)
Inequivalent atoms, fractional coordinates:
Cd1 0.000 0.000 0.000 (multiplicity 4)
Sb1 0.000 0.000 0.500 (multiplicity 4)
Ru1 0.250 0.250 0.250 (multiplicity 4)

---

# 3
## MgTi2CrB (GGA-PBE)

Data for a relaxed structure of MgTi2CrB.

Its total energy is -4.64 eV per atom. The density is 3.13 g/cm3. The calculation puts the energy relative to the elements at 2.10 eV per atom.

abc: 4.675 4.675 4.445
angles: 90.00 90.00 90.00
Space group P4/mmm (No. 123)
Inequivalent atoms, fractional coordinates:
Mg1 0.000 0.000 0.000 (multiplicity 1)
Ti1 0.000 0.500 0.000 (multiplicity 2)
Cr1 0.000 0.000 0.500 (multiplicity 1)
B1 0.500 0.500 0.500 (multiplicity 1)

---

# 4
## GeBi2Pb2 (GGA-PBE)

Data for a relaxed structure of GeBi2Pb2.

Its total energy is -3.73 eV per atom. The density is 9.43 g/cm3. The calculation puts the energy relative to the elements at 0.23 eV per atom. The offset from the most stable computed form comes out at 0 meV per atom.

abc: 8.102 8.102 4.857
angles: 90.00 90.00 90.00
Space group P4/mbm (No. 127)
Inequivalent atoms, fractional coordinates:
Ge1 0.000 0.000 0.000 (multiplicity 2)
Bi1 0.144 0.356 0.000 (multiplicity 4)
Pb1 0.166 0.666 0.500 (multiplicity 4)

---

# 5
## ReHgOs (GGA-PBE)

Data for a relaxed structure of ReHgOs.

Its total energy is -6.96 eV per atom. The density is 16.66 g/cm3. The calculation puts the energy relative to the elements at 1.03 eV per atom. The offset from the most stable computed form comes out at 589 meV per atom.

abc: 6.128 6.128 6.128
angles: 90.00 90.00 90.00
Space group F-43m (No. 216)
Inequivalent atoms, fractional coordinates:
Re1 0.000 0.000 0.000 (multiplicity 4)
Hg1 0.000 0.000 0.500 (multiplicity 4)
Os1 0.250 0.250 0.750 (multiplicity 4)

---

# 6
## Ho4Cd5Au2 (GGA-PBE)

Data for a relaxed structure of Ho4Cd5Au2.

Its total energy is -3.14 eV per atom. The density is 9.94 g/cm3. The calculation puts the energy relative to the elements at -0.46 eV per atom.

abc: 7.710 3.527 9.953
angles: 90.00 94.16 90.00
Space group P2/m (No. 10)
Inequivalent atoms, fractional coordinates:
Ho1 0.166 0.000 0.368 (multiplicity 2)
Ho2 0.243 0.000 0.946 (multiplicity 2)
Cd1 0.190 0.500 0.653 (multiplicity 2)
Cd2 0.452 0.500 0.193 (multiplicity 2)
Cd3 0.500 0.500 0.500 (multiplicity 1)
Au1 0.066 0.500 0.140 (multiplicity 2)

---

Question: Which formula does entry 5 have?
Answer: ReHgOs